{"formula": "LiHfTlTe3", "functional": "GGA-PBE", "state": "relaxed", "density_g_cm3": 7.00, "total_energy_ev_per_cell": -56.09, "volume_a3_per_atom": 30.55, "relative_energy_mev_per_atom": 2.2, "cell": [[-6.3407, -4.5700, -3.3699], [2.5609, -3.2674, -0.3874], [0.0044, -1.2853, 10.8692]], "species": ["Hf", "Hf", "Li", "Li", "Te", "Te", "Te", "Te", "Te", "Te", "Tl", "Tl"], "fractional_positions": [[0.1912, 0.2500, 0.1605], [0.8088, 0.7500, 0.8395], [0.4293, 0.7500, 0.3977], [0.5707, 0.2500, 0.6023], [0.9354, 0.7500, 0.1259], [0.4203, 0.7500, 0.1468], [0.2394, 0.2500, 0.4297], [0.7606, 0.7500, 0.5703], [0.5797, 0.2500, 0.8532], [0.0646, 0.2500, 0.8741], [0.7726, 0.2500, 0.3137], [0.2274, 0.7500, 0.6863]]}

{"formula": "CsAcPr", "functional": "GGA-PBE", "state": "relaxed", "density_g_cm3": 4.56, "total_energy_ev_per_cell": -6.59, "volume_a3_per_atom": 60.81, "relative_energy_mev_per_atom": 0.0, "cell": [[4.0157, -2.2156, 4.4152], [0.3826, 2.8578, 5.6758], [-2.2649, -2.9113, 5.1888]], "species": ["Ac", "Cs", "Pr"], "fractional_positions": [[0.2500, 0.2500, 0.2500], [0.7500, 0.7500, 0.7500], [0.0000, 0.0000, 0.0000]]}